Record 1
A relaxed Tb5Pr3Sm3 crystal, computed with PBE.

## Properties
Calculated formation energy: 0.762 eV/atom
Total magnetic moment: 0.01 μB/cell

a = 9.7069 Å, b = 9.7069 Å, c = 5.5707 Å
α = 90.00°, β = 90.00°, γ = 120.00°
Closest atoms and distances in Å follow each position.
Positions (direct):
Tb  0.0000  0.7301  0.0000  3 Pr 3.18-3.55, 2 Sm 3.29
Tb  0.2699  0.2699  0.0000  3 Pr 3.18-3.55, 2 Sm 3.29
Tb  0.3333  0.6667  0.0000  3 Pr 3.10
Tb  0.6667  0.3333  0.0000  3 Pr 3.10
Tb  0.7301  0.0000  0.0000  3 Pr 3.18-3.55, 2 Sm 3.29
Pr  0.0000  0.3644  0.0000  4 Tb 3.10-3.18, 2 Sm 3.32
Pr  0.3644  0.0000  0.0000  4 Tb 3.10-3.18, 2 Sm 3.32
Pr  0.6356  0.6356  0.0000  4 Tb 3.10-3.18, 2 Sm 3.32
Sm  0.0000  0.5499  0.5000  2 Tb 3.29, 2 Pr 3.32
Sm  0.4501  0.4501  0.5000  2 Tb 3.29, 2 Pr 3.32
Sm  0.5499  0.0000  0.5000  2 Tb 3.29, 2 Pr 3.32

Record 2
A relaxed K2O2F crystal, computed with PBE.

## Properties
Total magnetic moment: 2.00 μB/cell
Uncorrected formation energy: -1518 meV per atom

a = 6.7441 Å, b = 6.7441 Å, c = 8.7700 Å
α = 90.00°, β = 90.00°, γ = 149.53°
Closest atoms and distances in Å follow each position.
Positions (direct):
K  0.0040  0.9960  0.5000  2 F 2.69, 1 O 2.86
K  0.1958  0.8042  0.2537  6 O 2.61-2.84, 2 F 2.70
K  0.8042  0.1958  0.7537  6 O 2.61-2.84, 2 F 2.70
K  0.9960  0.0040  0.0000  2 F 2.69, 1 O 2.86
O  0.2125  0.7875  0.9468  1 O 1.36
O  0.3086  0.6914  0.0072  1 O 1.36
O  0.6914  0.3086  0.5072  1 O 1.36
O  0.7875  0.2125  0.4468  1 O 1.36
F  0.4591  0.5409  0.7202  4 K 2.69-2.70
F  0.5409  0.4591  0.2202  4 K 2.69-2.70

Record 3
A relaxed LiTmZrOs crystal, computed with PBE.

## Properties
Calculated formation energy: -0.290 eV/atom
Total magnetic moment: 0.00 μB/cell

a = 4.7447 Å, b = 4.7447 Å, c = 4.7447 Å
α = 60.00°, β = 60.00°, γ = 60.00°
Closest atoms and distances in Å follow each position.
Positions (direct):
Li  0.0000  0.0000  0.0000  4 Tm 2.91, 4 Zr 2.91
Tm  0.7500  0.7500  0.7500  4 Li 2.91, 4 Os 2.91
Zr  0.2500  0.2500  0.2500  4 Os 2.91, 4 Li 2.91
Os  0.5000  0.5000  0.5000  4 Tm 2.91, 4 Zr 2.91

In the order shown, the computed E_tot values come out to -3.93, -4.31, -6.83 eV/atom.